(1)
Here is RbBaNbCu2 after structural relaxation from Alexandria. Energies are from GGA-PBE.

a = 5.3348 Å, b = 6.0761 Å, c = 5.3348 Å
α = 90.00°, β = 90.00°, γ = 90.00°
Each line ends with the local moment (μB).
Element x y z (fractional)
Ba: 0.0000 0.5000 0.0000  0.10
Nb: 0.5000 0.5000 0.5000  2.78
Cu: 0.5000 0.0000 0.0000  -0.02
Cu: 0.0000 0.0000 0.5000  -0.02
Rb: 0.0000 0.0000 0.0000  -0.02

Results
- theoretical density (kg/m3) = 4252
- crystal system = tetragonal
- D(E_F) (states/eV/f.u.) = 3.34
- final energy (eV for the cell shown) = -11.90
- E_form (meV per atom) = 1850

(2)
Here is BaNbCu2Re after structural relaxation from Alexandria. Energies are from GGA-PBE.

a = 5.0359 Å, b = 4.7108 Å, c = 5.0359 Å
α = 90.00°, β = 90.00°, γ = 90.00°
Element x y z (fractional)
Cu: 0.0000 0.0000 0.5000
Cu: 0.5000 0.0000 0.0000
Nb: 0.0000 0.5000 0.0000
Ba: 0.5000 0.5000 0.5000
Re: 0.0000 0.0000 0.0000

Results
- theoretical density (kg/m3) = 7555
- crystal system = tetragonal
- D(E_F) (states/eV/f.u.) = 6.97
- final energy (eV for the cell shown) = -28.72
- E_form (meV per atom) = 782

(3)
Here is Ba2NbCu2S6 after structural relaxation from Alexandria. Energies are from GGA-PBE.

a = 7.0746 Å, b = 7.0746 Å, c = 7.3699 Å
α = 61.32°, β = 61.32°, γ = 60.00°
Element x y z (fractional)
Cu: 0.5832 0.5832 0.2503
Cu: 0.4168 0.4168 0.7497
S: 0.2401 0.2401 0.7476
S: 0.7599 0.7599 0.2524
S: 0.7723 0.2401 0.7476
S: 0.2277 0.7599 0.2524
S: 0.2401 0.7723 0.7476
S: 0.7599 0.2277 0.2524
Ba: 0.2298 0.2298 0.3106
Ba: 0.7702 0.7702 0.6894
Nb: 0.0000 0.0000 0.0000

Results
- theoretical density (kg/m3) = 4291
- crystal system = trigonal
- D(E_F) (states/eV/f.u.) = 9.51
- final energy (eV for the cell shown) = -58.14
- raw formation energy (eV/atom) = -1.02

(4)
Here is Ba2ScNbCu after structural relaxation from Alexandria. Energies are from GGA-PBE.

a = 6.0841 Å, b = 5.0662 Å, c = 6.0841 Å
α = 90.00°, β = 90.00°, γ = 90.00°
Each line ends with the local moment (μB).
Element x y z (fractional)
Sc: 0.0000 0.5000 0.0000  -0.12
Ba: 0.5000 0.0000 0.0000  0.05
Ba: 0.0000 0.0000 0.5000  0.05
Nb: 0.5000 0.5000 0.5000  2.76
Cu: 0.0000 0.0000 0.0000  0.01

Results
- theoretical density (kg/m3) = 4215
- crystal system = tetragonal
- D(E_F) (states/eV/f.u.) = 5.58
- final energy (eV for the cell shown) = -19.85
- E_form (meV per atom) = 899

(5)
Here is BaNd3Cu after structural relaxation from Alexandria. Energies are from GGA-PBE.

a = 5.7256 Å, b = 5.7256 Å, c = 5.7256 Å
α = 90.00°, β = 90.00°, γ = 90.00°
Element x y z (fractional)
Ba: 0.5000 0.5000 0.5000
Nd: 0.0000 0.5000 0.0000
Nd: 0.0000 0.0000 0.5000
Nd: 0.5000 0.0000 0.0000
Cu: 0.0000 0.0000 0.0000

Results
- theoretical density (kg/m3) = 5605
- crystal system = cubic
- D(E_F) (states/eV/f.u.) = 9.75
- final energy (eV for the cell shown) = -19.68
- E_form (meV per atom) = 128

> Look up the final energy of the fourth one.

-19.85 eV for the cell shown

> Which formula does entry 5 have?

BaNd3Cu